1.
## NiSBr (PBE)

Data for crystalline NiSBr at its relaxed geometry.

Volume, Å³ per cell: 58
D(E_F), states/eV per atom: 1.0164
Formation energy from raw total energies, eV per atom: -0.15

Unit cell a=3.4354 b=3.4354 c=5.6282 alpha=90.00 beta=90.00 gamma=120.00
With the nearest neighbours (Å) after each atom.
Atoms (fractional coordinates):
Ni (0.6667, 0.3333, 0.3610)  3 S 2.27, 3 Br 2.53
S (0.3333, 0.6667, 0.5580)  3 Ni 2.27
Br (0.0000, 0.0000, 0.0810)  3 Ni 2.53

2.
## NiSBr (PBE)

Data for crystalline NiSBr at its relaxed geometry.

Volume, Å³ per cell: 288
D(E_F), states/eV per atom: 1.0988
Formation energy from raw total energies, eV per atom: -0.12

Unit cell a=9.4734 b=4.3346 c=7.0033 alpha=90.00 beta=90.00 gamma=90.00
With the nearest neighbours (Å) after each atom.
Atoms (fractional coordinates):
S (0.5827, 0.7500, 0.7500)  3 Ni 2.17-2.25
S (0.5827, 0.7500, 0.2500)  3 Ni 2.17-2.25
S (0.4173, 0.2500, 0.2500)  3 Ni 2.17-2.25
S (0.4173, 0.2500, 0.7500)  3 Ni 2.17-2.25
Br (0.8207, 0.2500, 0.5000)  2 Ni 2.41
Br (0.8207, 0.2500, 0.0000)  2 Ni 2.41
Br (0.1793, 0.7500, 0.5000)  2 Ni 2.41
Br (0.1793, 0.7500, 0.0000)  2 Ni 2.41
Ni (0.3535, 0.7500, 0.2500)  3 S 2.17-2.25, 2 Br 2.41
Ni (0.6465, 0.2500, 0.2500)  3 S 2.17-2.25, 2 Br 2.41
Ni (0.6465, 0.2500, 0.7500)  3 S 2.17-2.25, 2 Br 2.41
Ni (0.3535, 0.7500, 0.7500)  3 S 2.17-2.25, 2 Br 2.41

3.
## NiS2Br (PBE)

Data for crystalline NiS2Br at its relaxed geometry.

Volume, Å³ per cell: 173
D(E_F), states/eV per atom: 1.2963
Formation energy from raw total energies, eV per atom: 0.17

Unit cell a=6.1579 b=6.1579 c=6.3007 alpha=60.75 beta=60.75 gamma=90.00
With the nearest neighbours (Å) after each atom.
Atoms (fractional coordinates):
Ni (0.5000, 0.5000, 0.0000)  4 S 2.13
Ni (0.2500, 0.7500, 0.5000)  4 S 2.13
S (0.5267, 0.1250, 0.2500)  2 Ni 2.13
S (0.2233, 0.6250, 0.2500)  2 Ni 2.13
S (0.3750, 0.4733, 0.7500)  2 Ni 2.13
S (0.8750, 0.7767, 0.7500)  2 Ni 2.13
Br (0.0000, 0.0000, 0.0000)  4 S 2.87
Br (0.7500, 0.2500, 0.5000)  4 S 2.87